# LiDyIn2

Crystalline LiDyIn2 at its relaxed geometry (PBE-GGA, Alexandria via LeMat-Bulk).

```
LiDyIn2
1.0
0.000 3.623 3.623
3.623 0.000 3.623
3.623 3.623 0.000
Li Dy In
1 1 2
direct
0.000 0.000 0.000
0.500 0.500 0.500
0.250 0.250 0.250
0.750 0.750 0.750
```

Results
- Symmetry: No. 225
- Volume: 23.77 Å³/atom
- Relative energy among the computed polymorphs: 0.012 eV/atom
- Uncorrected energy: -3.381 eV per atom
- Calculated formation energy: -0.383 eV per atom